[1]
Here is an optimized crystal structure of CaMnIO2 from Alexandria via LeMat-Bulk. Energies are from PBE with a Hubbard U.

Energy above the lowest structure with this stoichiometry   0 meV per atom
Magnetization   4.03 μB per formula unit
Final energy   -6.050 eV/atom

a = 3.926 Å, b = 8.492 Å, c = 8.018 Å
α = 125.68°, β = 90.00°, γ = 90.00°
Fractional coordinates of all 10 atoms:
Ca 0.750 0.335 0.007
Ca 0.250 0.665 0.993
O 0.750 0.495 0.856
O 0.250 0.510 0.619
O 0.250 0.505 0.144
O 0.750 0.490 0.381
I 0.250 0.973 0.726
I 0.750 0.027 0.274
Mn 0.250 0.555 0.403
Mn 0.750 0.445 0.597

---

[2]
Here is an optimized crystal structure of CaMnIO2 from Alexandria via LeMat-Bulk. Energies are from PBE with a Hubbard U.

Energy above the lowest structure with this stoichiometry   1272 meV per atom
Magnetization   6.67 μB per formula unit
Final energy   -4.778 eV/atom

a = 4.395 Å, b = 4.395 Å, c = 6.166 Å
α = 90.00°, β = 90.00°, γ = 90.00°
Fractional coordinates of all 5 atoms:
I 0.000 0.000 0.500
Ca 0.000 0.000 0.000
O 0.000 0.500 0.000
O 0.500 0.000 0.000
Mn 0.500 0.500 0.500

---

[3]
Here is an optimized crystal structure of CaMnIO2 from Alexandria via LeMat-Bulk. Energies are from PBE with a Hubbard U.

Energy above the lowest structure with this stoichiometry   815 meV per atom
Magnetization   4.02 μB per formula unit
Final energy   -5.235 eV/atom

a = 4.144 Å, b = 4.144 Å, c = 5.476 Å
α = 90.00°, β = 90.00°, γ = 90.00°
Fractional coordinates of all 5 atoms:
O 0.500 0.000 0.000
O 0.000 0.500 0.000
I 0.000 0.000 0.500
Mn 0.000 0.000 0.000
Ca 0.500 0.500 0.500

---

[4]
Here is an optimized crystal structure of Ca2MnIO6 from Alexandria via LeMat-Bulk. Energies are from PBE with a Hubbard U.

Magnetization   4.17 μB per formula unit
Final energy   -6.007 eV/atom

a = 5.680 Å, b = 5.680 Å, c = 5.761 Å
α = 60.46°, β = 60.47°, γ = 60.00°
Fractional coordinates of all 10 atoms:
Ca 0.040 0.039 0.882
Ca 0.542 0.542 0.374
O 0.463 0.656 0.781
O 0.168 0.981 0.270
O 0.656 0.100 0.781
O 0.580 0.168 0.270
O 0.100 0.463 0.781
O 0.981 0.580 0.270
Mn 0.813 0.813 0.560
I 0.318 0.318 0.046